Record 1
# Sm2Sc2Hg3

Sm2Sc2Hg3 after structural relaxation (PBE, Alexandria via LeMat-Bulk).

Calculated values
E   -3.57 eV per atom
Calculated formation energy   -0.283 eV per atom

Unit cell a=3.7307 b=3.6186 c=13.6510 alpha=90.00 beta=82.15 gamma=90.00
Closest atoms and distances in Å follow each position.
Element x y z (fractional)
Sm 0.5732 0.5000 0.8537  8 Hg 3.27-3.35, 1 Sc 3.50, 2 Sm 3.62
Sm 0.4268 0.5000 0.1463  8 Hg 3.27-3.35, 1 Sc 3.50, 2 Sm 3.62
Sc 0.7027 0.5000 0.5945  4 Hg 2.95, 2 Sc 3.16
Sc 0.2973 0.5000 0.4055  4 Hg 2.95, 2 Sc 3.16
Hg 0.8489 0.0000 0.3022  4 Sc 2.95
Hg 0.0000 0.0000 0.0000  8 Sm 3.27, 2 Hg 3.62
Hg 0.1511 0.0000 0.6978  4 Sc 2.95

---

Record 2
# UPt3

UPt3 after structural relaxation (PBE, Alexandria via LeMat-Bulk).

Calculated values
E   -8.05 eV per atom
Calculated formation energy   -0.702 eV per atom

Unit cell a=4.1109 b=4.1109 c=5.1559 alpha=113.49 beta=113.49 gamma=90.00
Closest atoms and distances in Å follow each position.
Element x y z (fractional)
U 0.0000 0.0000 0.0000  12 Pt 2.91-2.96
Pt 0.7500 0.2500 0.5000  8 Pt 2.91-2.96, 4 U 2.96
Pt 0.2500 0.7500 0.5000  8 Pt 2.91-2.96, 4 U 2.96
Pt 0.5000 0.5000 0.0000  4 U 2.91, 8 Pt 2.96

---

Record 3
# SrPAu3

SrPAu3 after structural relaxation (PBE, Alexandria via LeMat-Bulk).

Calculated values
E above lowest polymorph   0.0000 eV/atom
E   -3.73 eV per atom
Calculated formation energy   -0.342 eV per atom

Unit cell a=4.8934 b=4.8934 c=4.8934 alpha=90.00 beta=90.00 gamma=90.00
Closest atoms and distances in Å follow each position.
Element x y z (fractional)
Sr 0.5000 0.5000 0.5000  12 Au 3.46
Au 0.0000 0.5000 0.0000  2 P 2.45
Au 0.0000 0.0000 0.5000  2 P 2.45
Au 0.5000 0.0000 0.0000  2 P 2.45
P 0.0000 0.0000 0.0000  6 Au 2.45

---

> Which value of calculated formation energy does entry 2 give?

-0.702 eV per atom

---

> The highest E belongs to which entry?

Sm2Sc2Hg3